(1)
! PBE CsVCrCl6, relaxed; values from VASP
! - Fermi-level density of states: 0.31 states/eV per atom
! - Energy relative to the elements, uncorrected: -1367.8 meV/atom
&SYSTEM
  ibrav = 0, nat = 9, ntyp = 4
/
ATOMIC_SPECIES
Cs 132.91 Cs.upf
V 50.94 V.upf
Cr 52.00 Cr.upf
Cl 35.45 Cl.upf
ATOMIC_POSITIONS angstrom
Cs 0.343 7.974 6.229
V 3.616 3.710 6.506
Cr 1.991 3.820 3.229
Cl 0.018 2.651 3.977
Cl 2.156 2.419 1.273
Cl 3.811 4.998 2.175
Cl 2.164 5.189 5.206
Cl 0.372 5.319 2.255
Cl 3.422 2.342 4.487
CELL_PARAMETERS angstrom
-0.386 0.115 6.327
5.264 -0.445 3.506
0.729 7.860 -0.098


(2)
! PBE Cs2YCr3Cl12, relaxed; values from VASP
! - Fermi-level density of states: 0.36 states/eV per atom
! - Energy relative to the elements, uncorrected: -1509.7 meV/atom
&SYSTEM
  ibrav = 0, nat = 18, ntyp = 4
/
ATOMIC_SPECIES
Cr 52.00 Cr.upf
Y 88.91 Y.upf
Cl 35.45 Cl.upf
Cs 132.91 Cs.upf
ATOMIC_POSITIONS angstrom
Cr 2.341 1.363 3.764
Y 0.000 0.000 0.000
Cl 6.833 0.982 0.696
Cl 11.444 3.459 2.454
Cs 7.329 4.266 3.026
Cl 7.196 7.390 5.242
Cl 9.980 5.809 0.728
Cl 4.228 2.461 4.919
Cl 11.806 9.868 6.999
Cl 8.660 5.041 6.968
Cl 9.980 2.607 5.242
Cr 2.341 4.003 0.042
Cl 14.411 8.388 2.776
Cl 14.411 5.393 6.999
Cr 4.637 0.059 0.042
Cl 8.660 8.242 2.454
Cs 11.310 6.583 4.670
Cl 4.228 5.457 0.696
CELL_PARAMETERS angstrom
9.274 0.118 0.084
4.683 8.005 0.084
4.683 2.726 7.528


(3)
! PBE Cs2ZnCrCl6, relaxed; values from VASP
! - Fermi-level density of states: 0.00 states/eV per atom
! - Energy relative to the elements, uncorrected: -1423.9 meV/atom
&SYSTEM
  ibrav = 0, nat = 10, ntyp = 4
/
ATOMIC_SPECIES
Cl 35.45 Cl.upf
Cs 132.91 Cs.upf
Cr 52.00 Cr.upf
Zn 65.41 Zn.upf
ATOMIC_POSITIONS angstrom
Cl 5.379 5.379 0.000
Cl 7.385 7.385 2.213
Cs 7.385 3.693 2.632
Cl 3.693 3.693 3.050
Cl 2.007 2.007 0.000
Cr 3.693 3.693 0.000
Zn 0.000 0.000 0.000
Cl 5.379 2.007 0.000
Cs 3.693 7.385 2.632
Cl 2.007 5.379 0.000
CELL_PARAMETERS angstrom
7.385 0.000 0.000
0.000 7.385 0.000
3.693 3.693 5.264


(4)
! PBE CsZnCr2Cl8, relaxed; values from VASP
! - Fermi-level density of states: 0.08 states/eV per atom
! - Energy relative to the elements, uncorrected: -1014.2 meV/atom
&SYSTEM
  ibrav = 0, nat = 12, ntyp = 4
/
ATOMIC_SPECIES
Cr 52.00 Cr.upf
Cl 35.45 Cl.upf
Zn 65.41 Zn.upf
Cs 132.91 Cs.upf
ATOMIC_POSITIONS angstrom
Cr 0.248 3.946 6.177
Cl 1.984 3.296 4.700
Cr -1.386 0.650 5.748
Zn 0.000 0.000 0.000
Cl 0.051 0.088 4.063
Cs 1.456 3.325 0.235
Cl -1.427 2.884 4.799
Cl -3.122 1.301 7.225
Cl -0.995 -1.432 6.872
Cl 0.289 1.713 7.126
Cl -0.143 6.028 5.053
Cl -1.189 4.508 7.862
CELL_PARAMETERS angstrom
-5.500 1.149 6.093
1.451 -3.204 5.361
2.911 6.651 0.471


(5)
! PBE CrCuCl2, relaxed; values from VASP
! - Fermi-level density of states: 0.33 states/eV per atom
! - Energy relative to the elements, uncorrected: -261.2 meV/atom
&SYSTEM
  ibrav = 0, nat = 4, ntyp = 3
/
ATOMIC_SPECIES
Cr 52.00 Cr.upf
Cu 63.55 Cu.upf
Cl 35.45 Cl.upf
ATOMIC_POSITIONS angstrom
Cr 10.987 2.546 3.092
Cu 3.662 0.849 1.031
Cl 5.961 1.381 2.572
Cl 2.771 0.642 3.694
CELL_PARAMETERS angstrom
6.979 -0.013 -0.041
6.262 3.081 -0.041
1.407 0.326 4.204


(6)
! PBE CrCuCl4, relaxed; values from VASP
! - Fermi-level density of states: 0.54 states/eV per atom
! - Energy relative to the elements, uncorrected: -826.6 meV/atom
&SYSTEM
  ibrav = 0, nat = 12, ntyp = 3
/
ATOMIC_SPECIES
Cl 35.45 Cl.upf
Cr 52.00 Cr.upf
Cu 63.55 Cu.upf
ATOMIC_POSITIONS angstrom
Cl 1.751 6.493 4.964
Cr -0.020 -0.066 4.885
Cl 3.241 2.124 6.421
Cu 1.213 2.088 7.729
Cl 3.960 3.739 2.604
Cl 2.357 6.565 1.708
Cl 1.032 4.878 8.782
Cu 3.779 6.529 3.657
Cr 2.516 4.374 0.808
Cl 3.019 8.047 7.657
Cl 1.973 0.570 3.729
Cl 2.635 2.052 9.678
CELL_PARAMETERS angstrom
3.436 0.000 0.639
1.596 8.749 0.976
-0.040 -0.132 9.770


What is the Fermi-level density of states in the fifth record?
0.33 states/eV per atom


Which value of Fermi-level density of states does entry 6 give?
0.54 states/eV per atom


Please write out number 3 again, unchanged.
! PBE Cs2ZnCrCl6, relaxed; values from VASP
! - Fermi-level density of states: 0.00 states/eV per atom
! - Energy relative to the elements, uncorrected: -1423.9 meV/atom
&SYSTEM
  ibrav = 0, nat = 10, ntyp = 4
/
ATOMIC_SPECIES
Cl 35.45 Cl.upf
Cs 132.91 Cs.upf
Cr 52.00 Cr.upf
Zn 65.41 Zn.upf
ATOMIC_POSITIONS angstrom
Cl 5.379 5.379 0.000
Cl 7.385 7.385 2.213
Cs 7.385 3.693 2.632
Cl 3.693 3.693 3.050
Cl 2.007 2.007 0.000
Cr 3.693 3.693 0.000
Zn 0.000 0.000 0.000
Cl 5.379 2.007 0.000
Cs 3.693 7.385 2.632
Cl 2.007 5.379 0.000
CELL_PARAMETERS angstrom
7.385 0.000 0.000
0.000 7.385 0.000
3.693 3.693 5.264


What is the Fermi-level density of states in the fifth record?
0.33 states/eV per atom